(1)
Below is a geometry-optimized La2Np3NiPt12 structure, with properties calculated at the PBE level. Values from VASP.

Calculated values
space-group type = R-3m (166)
volume = 20.3 Å³/atom
uncorrected energy = -136.344 eV/cell
Fermi-level density of states = 36.53 states/eV/cell
size of the total moment = 0.542 μB/atom

Geometry as Quantum ESPRESSO input:
```
&SYSTEM
  ibrav = 0, nat = 18, ntyp = 4
/
ATOMIC_SPECIES
Pt 195.08 Pt.upf
Np 237.00 Np.upf
La 138.91 La.upf
Ni 58.69 Ni.upf
CELL_PARAMETERS angstrom
7.0727 -1.2824 -0.9096
2.3778 6.7833 -0.9096
2.3778 1.3841 6.7026
ATOMIC_POSITIONS crystal
Pt 0.9228 0.3986 0.3986
Np 0.0000 0.0000 0.5000
Pt 0.0772 0.6014 0.6014
La 0.3525 0.3525 0.3525
Ni 0.0000 0.0000 0.0000
Pt 0.2010 0.2010 0.7597
Pt 0.7990 0.2403 0.7990
Pt 0.7990 0.7990 0.2403
Pt 0.6014 0.6014 0.0772
Pt 0.2403 0.7990 0.7990
Pt 0.2010 0.7597 0.2010
Np 0.5000 0.0000 0.0000
Pt 0.7597 0.2010 0.2010
Pt 0.3986 0.3986 0.9228
Pt 0.3986 0.9228 0.3986
Np 0.0000 0.5000 0.0000
Pt 0.6014 0.0772 0.6014
La 0.6475 0.6475 0.6475
```

=====

(2)
Below is a geometry-optimized LaNpNiS4 structure, with properties calculated at the PBE level. Values from VASP.

Calculated values
space-group type = P2_1/m (11)
volume = 20.2 Å³/atom
ΔE_f (raw) = -1.388 eV/atom
uncorrected energy = -99.755 eV/cell
Fermi-level density of states = 16.44 states/eV/cell
size of the total moment = 0.448 μB/atom

Geometry as Quantum ESPRESSO input:
```
&SYSTEM
  ibrav = 0, nat = 14, ntyp = 4
/
ATOMIC_SPECIES
Ni 58.69 Ni.upf
Np 237.00 Np.upf
S 32.06 S.upf
La 138.91 La.upf
CELL_PARAMETERS angstrom
6.4670 0.0000 0.0806
0.0000 5.7514 0.0000
-2.4300 0.0000 7.5694
ATOMIC_POSITIONS crystal
Ni 0.2354 0.7500 0.3197
Np 0.7530 0.7500 0.4414
S 0.9825 0.4880 0.2587
S 0.9825 0.0120 0.2587
La 0.7361 0.7500 0.9334
S 0.0175 0.5120 0.7413
S 0.4263 0.7500 0.5964
La 0.2639 0.2500 0.0666
S 0.4297 0.7500 0.1276
S 0.5703 0.2500 0.8724
S 0.5737 0.2500 0.4036
S 0.0175 0.9880 0.7413
Ni 0.7646 0.2500 0.6803
Np 0.2470 0.2500 0.5586
```

=====

(3)
Below is a geometry-optimized LaNpNiSe4 structure, with properties calculated at the PBE level. Values from VASP.

Calculated values
space-group type = P2_1/m (11)
volume = 23.2 Å³/atom
ΔE_f (raw) = -1.203 eV/atom
uncorrected energy = -92.013 eV/cell
Fermi-level density of states = 19.61 states/eV/cell
size of the total moment = 0.455 μB/atom

Geometry as Quantum ESPRESSO input:
```
&SYSTEM
  ibrav = 0, nat = 14, ntyp = 4
/
ATOMIC_SPECIES
Se 78.96 Se.upf
La 138.91 La.upf
Np 237.00 Np.upf
Ni 58.69 Ni.upf
CELL_PARAMETERS angstrom
6.9069 0.0000 0.1119
0.0000 5.9230 0.0000
-2.5614 0.0000 7.9130
ATOMIC_POSITIONS crystal
Se 0.9832 0.0082 0.2570
Se 0.4208 0.7500 0.6006
Se 0.9832 0.4918 0.2570
La 0.7374 0.7500 0.9310
Se 0.5697 0.2500 0.8806
Se 0.0168 0.9918 0.7430
Se 0.5792 0.2500 0.3994
Np 0.7418 0.7500 0.4409
Se 0.4303 0.7500 0.1194
Ni 0.2466 0.7500 0.3170
La 0.2626 0.2500 0.0690
Se 0.0168 0.5082 0.7430
Ni 0.7534 0.2500 0.6830
Np 0.2582 0.2500 0.5591
```